1.
# Na4RuRh3O8

A geometry-optimized Na4RuRh3O8 structure (GGA-PBE, the Alexandria database).

Cell lengths 6.3619, 6.3619, 15.4781 Å; angles 90.00, 90.00, 120.00 degrees
Space group R-3m (No. 166, hexagonal axes)
Asymmetric unit:
Na  0.0000  0.0000  0.0000 x3
Na  0.0000  0.5000  0.0000 x9
Ru  0.0000  0.0000  0.5000 x3
Rh  0.0000  0.5000  0.5000 x9
O  0.0000  0.0000  0.2332 x6
O  0.0012  0.5006  0.2324 x18

Computed properties:
- Total DFT energy (no corrections): -5.86 eV per atom
- ρ: 5.782 g/cm³

2.
# TbY4In2

A geometry-optimized TbY4In2 structure (GGA-PBE, the Alexandria database).

Cell lengths 6.7275, 10.5969, 6.9342 Å; angles 90.00, 118.26, 90.00 degrees
Space group P2_1/c (No. 14)
Asymmetric unit:
Tb  0.0000  0.0000  0.0000 x2
Y  0.0708  0.1673  0.5270 x4
Y  0.4111  0.7325  0.4605 x4
In  0.4735  0.5130  0.2063 x4

Computed properties:
- ΔE to the lowest computed polymorph: 6 meV/atom
- E_form: -0.1398 eV/atom
- ρ: 5.676 g/cm³

3.
# ScTa2W

A geometry-optimized ScTa2W structure (GGA-PBE, the Alexandria database).

Cell lengths 3.2897, 3.2897, 6.9607 Å; angles 90.00, 90.00, 90.00 degrees
Space group P4mm (No. 99)
Asymmetric unit:
Sc  0.0000  0.0000  0.0000 x1
Ta  0.0000  0.0000  0.5275 x1
Ta  0.5000  0.5000  0.2933 x1
W  0.5000  0.5000  0.7364 x1

Computed properties:
- E_form: 0.1919 eV/atom
- ρ: 13.021 g/cm³

4.
# KAsF3

A geometry-optimized KAsF3 structure (GGA-PBE, the Alexandria database).

Cell lengths 4.4532, 4.4532, 4.4532 Å; angles 90.00, 90.00, 90.00 degrees
Space group Pm-3m (No. 221)
Asymmetric unit:
K  0.0000  0.0000  0.0000 x1
As  0.5000  0.5000  0.5000 x1
F  0.0000  0.5000  0.5000 x3

Computed properties:
- ΔE to the lowest computed polymorph: 329 meV/atom
- ρ: 3.216 g/cm³

5.
# LiTmMgSn

A geometry-optimized LiTmMgSn structure (GGA-PBE, the Alexandria database).

Cell lengths 7.1672, 7.1672, 7.1672 Å; angles 90.00, 90.00, 90.00 degrees
Space group F-43m (No. 216)
Asymmetric unit:
Li  0.0000  0.0000  0.0000 x4
Tm  0.0000  0.0000  0.5000 x4
Mg  0.2500  0.2500  0.7500 x4
Sn  0.2500  0.2500  0.2500 x4

Computed properties:
- E_form: -0.3191 eV/atom
- ρ: 5.753 g/cm³

6.
# Ho5PuIr4

A geometry-optimized Ho5PuIr4 structure (GGA-PBE, the Alexandria database).

Cell lengths 18.0470, 4.2000, 7.3166 Å; angles 90.00, 113.84, 90.00 degrees
Space group C2/m (No. 12)
Asymmetric unit:
Ho  0.0000  0.0000  0.0000 x2
Ho  0.1664  0.5000  0.4221 x4
Ho  0.1664  0.5000  0.9109 x4
Pu  0.0000  0.0000  0.5000 x2
Ir  0.0000  0.5000  0.2570 x4
Ir  0.1980  0.0000  0.6980 x4

Computed properties:
- E_form: -0.6238 eV/atom
- ρ: 12.030 g/cm³